# 1
An optimized crystal structure of Tl5Cd. Source: the Alexandria database, functional PBE-GGA.

Cell: 6.2812 6.2812 5.9639 Å, 90.00 90.00 120.00°
Closest atoms and distances in Å follow each position.
Fractional coordinates of all 6 atoms:
Tl 0.0000 0.5000 0.0000  8 Tl 3.14-3.49
Tl 0.3333 0.6667 0.5000  9 Tl 3.49-3.63, 3 Cd 3.63
Tl 0.5000 0.0000 0.0000  8 Tl 3.14-3.49
Tl 0.5000 0.5000 0.0000  8 Tl 3.14-3.49
Tl 0.6667 0.3333 0.5000  9 Tl 3.49-3.63, 3 Cd 3.63
Cd 0.0000 0.0000 0.5000  6 Tl 3.63

Values from the calculation:
Crystal system: hexagonal
Space group: No. 191

# 2
An optimized crystal structure of Pm8DyMg2. Source: the Alexandria database, functional PBE-GGA.

Cell: 9.2620 9.2620 8.1906 Å, 107.93 107.93 32.26°
Closest atoms and distances in Å follow each position.
Fractional coordinates of all 11 atoms:
Pm 0.0495 0.0495 0.2335  1 Mg 3.51, 9 Pm 3.54-3.67, 2 Dy 3.66
Pm 0.1410 0.1410 0.6967  3 Mg 3.41-3.46, 7 Pm 3.59-3.62, 2 Dy 3.59
Pm 0.3162 0.3162 0.5655  1 Mg 3.38, 8 Pm 3.42-3.70, 1 Dy 3.48
Pm 0.4057 0.4057 0.0405  3 Mg 3.47-3.50, 1 Dy 3.60, 8 Pm 3.62-3.70
Pm 0.5943 0.5943 0.9595  3 Mg 3.47-3.50, 1 Dy 3.60, 8 Pm 3.62-3.70
Pm 0.6838 0.6838 0.4345  1 Mg 3.38, 8 Pm 3.42-3.70, 1 Dy 3.48
Pm 0.8590 0.8590 0.3033  3 Mg 3.41-3.46, 7 Pm 3.59-3.62, 2 Dy 3.59
Pm 0.9505 0.9505 0.7665  1 Mg 3.51, 9 Pm 3.54-3.67, 2 Dy 3.66
Dy 0.5000 0.5000 0.5000  12 Pm 3.48-3.66
Mg 0.2270 0.2270 0.1338  8 Pm 3.38-3.51, 2 Mg 3.64
Mg 0.7730 0.7730 0.8662  8 Pm 3.38-3.51, 2 Mg 3.64

Values from the calculation:
Crystal system: monoclinic
Space group: No. 12

# 3
An optimized crystal structure of RbMgS3. Source: the Alexandria database, functional PBE-GGA.

Cell: 5.3858 5.3858 5.3858 Å, 90.00 90.00 90.00°
Closest atoms and distances in Å follow each position.
Fractional coordinates of all 5 atoms:
Rb 0.0000 0.0000 0.0000  6 S 2.69
Mg 0.5000 0.5000 0.5000  12 S 3.81
S 0.0000 0.0000 0.5000  2 Rb 2.69
S 0.0000 0.5000 0.0000  2 Rb 2.69
S 0.5000 0.0000 0.0000  2 Rb 2.69

Values from the calculation:
Crystal system: cubic
Space group: No. 221

# 4
An optimized crystal structure of PmNdNiRh. Source: the Alexandria database, functional PBE-GGA.

Cell: 4.1772 5.7960 5.7960 Å, 39.86 90.00 90.00°
Closest atoms and distances in Å follow each position.
Fractional coordinates of all 4 atoms:
Pm 0.0000 0.0000 0.0000  4 Rh 2.95, 3 Ni 3.07-3.09
Nd 0.5000 0.2794 0.2794  4 Ni 2.96, 3 Rh 3.06-3.10
Ni 0.0000 0.7160 0.7160  2 Rh 2.69, 4 Nd 2.96
Rh 0.5000 0.5602 0.5602  2 Ni 2.69, 4 Pm 2.95

Values from the calculation:
Crystal system: orthorhombic
Space group: No. 38

no.,energy (eV for the cell shown)
1,-11.658
2,-45.691
3,-9.932
4,-24.770